Computed, not measured: an optimized crystal structure of LaErCo at the PBE level of DFT.

The structure in POSCAR format:
```
LaErCo
1.0
4.777 0.000 0.000
2.389 4.137 0.000
2.389 1.379 3.901
La Co Er
1 1 1
Direct
0.000 0.000 0.000
0.250 0.250 0.250
0.500 0.500 0.500
```

Summary:
**Space-group type**: F-43m (216)
**Excess energy over the best structure of this formula in the dataset**: 0.38 eV per formula unit
**DOS(E_F)**: 1.0481 states/eV per atom
**Spin magnetization**: 0.0000 μB per atom